La5Cu | PBE | optimized geometry

Geometry as POSCAR:
```
La5Cu
1.0
1.8341 -8.8812 0.0000
1.8341 8.8812 0.0000
0.0000 0.0000 5.8859
La Cu
5 1
Direct
0.1240 0.8760 0.5000
0.3374 0.6626 0.0000
0.4659 0.5341 0.5000
0.7974 0.2026 0.5000
0.6262 0.3738 0.0000
0.9825 0.0175 0.0000
```

Computed properties:
Formation energy from the elements = 0.058 eV/atom
E above lowest polymorph = 99 meV per atom
Size of the total moment = 0.000 μB/cell